Entry 1:
The following is a GGA-PBE calculation of an optimized crystal structure of K2TaHg, from the Alexandria database. Values from VASP.

Structure (Quantum ESPRESSO input):
```
&SYSTEM
  ibrav = 0, nat = 4, ntyp = 3
/
ATOMIC_SPECIES
Hg 200.59 Hg.upf
K 39.10 K.upf
Ta 180.95 Ta.upf
CELL_PARAMETERS angstrom
-0.884 4.745 -9.435
1.964 -0.105 -10.413
-3.357 -2.712 9.679
ATOMIC_POSITIONS angstrom
Hg -0.426 -0.248 -5.329
K 0.107 0.460 -1.969
K 0.433 1.860 -7.955
Ta -1.850 2.177 -4.840
```

Results
final energy	-11.30	eV per cell
SG	Immm
ρ	4.92	g cm⁻³
N(E_F)	0.864	states/eV/atom

***

Entry 2:
The following is a GGA-PBE calculation of an optimized crystal structure of CaLaZn2, from the Alexandria database. Values from VASP.

Structure (Quantum ESPRESSO input):
```
&SYSTEM
  ibrav = 0, nat = 4, ntyp = 3
/
ATOMIC_SPECIES
Zn 65.41 Zn.upf
Ca 40.08 Ca.upf
La 138.91 La.upf
CELL_PARAMETERS angstrom
-2.661 -5.542 -4.253
1.325 -4.499 -5.821
0.961 -7.063 -2.253
ATOMIC_POSITIONS angstrom
Zn -0.360 -16.397 -11.817
Zn -0.109 -4.986 -3.594
Ca -0.200 -9.139 -6.586
La -0.268 -12.239 -8.821
```

Results
final energy	-10.15	eV per cell
SG	R3m
ρ	4.35	g cm⁻³
N(E_F)	1.240	states/eV/atom

***

Entry 3:
The following is a GGA-PBE calculation of an optimized crystal structure of NdSc2Sb, from the Alexandria database. Values from VASP.

Structure (Quantum ESPRESSO input):
```
&SYSTEM
  ibrav = 0, nat = 8, ntyp = 3
/
ATOMIC_SPECIES
Nd 144.24 Nd.upf
Sc 44.96 Sc.upf
Sb 121.76 Sb.upf
CELL_PARAMETERS angstrom
6.171 1.247 0.000
-2.046 3.509 0.000
0.000 0.000 8.917
ATOMIC_POSITIONS angstrom
Nd 0.510 3.824 6.688
Nd 3.615 0.932 2.229
Sc 0.639 1.548 4.070
Sc 3.486 3.208 4.848
Sc 0.639 1.548 0.389
Sc 3.486 3.208 8.528
Sb -1.379 2.722 2.229
Sb 5.504 2.034 6.688
```

Results
formation energy without anion corrections	-559	meV/atom
SG	Cmcm
ρ	5.48	g cm⁻³
N(E_F)	1.651	states/eV/atom

***

no.,magnetic moment (μB per formula unit)
1,1.64
2,0.12
3,0.51